1.
Ti4Os2N after structural relaxation, computed with PBE-GGA.

- formation energy (no corrections) (eV per atom) = -0.454

Lattice parameters (Å, degrees): 4.008 4.008 13.044 90.00 90.00 90.00
Space group I4/mmm (No. 139)
Symmetry-distinct sites (fractional):
1 Ti 0.000 0.000 0.169 [4 per cell]
2 Ti 0.000 0.500 0.000 [4 per cell]
3 Os 0.000 0.000 0.360 [4 per cell]
4 N 0.000 0.000 0.000 [2 per cell]

=====

2.
Sm3Ho6Tl after structural relaxation, computed with PBE-GGA.

- ΔE_f (eV per atom) = 0.020

Lattice parameters (Å, degrees): 12.780 3.502 14.263 90.00 100.84 90.00
Space group P2_1/m (No. 11)
Symmetry-distinct sites (fractional):
1 Sm 0.075 0.250 0.101 [2 per cell]
2 Sm 0.369 0.750 0.495 [2 per cell]
3 Sm 0.422 0.250 0.903 [2 per cell]
4 Ho 0.111 0.250 0.463 [2 per cell]
5 Ho 0.191 0.750 0.922 [2 per cell]
6 Ho 0.225 0.750 0.284 [2 per cell]
7 Ho 0.246 0.750 0.690 [2 per cell]
8 Ho 0.342 0.250 0.118 [2 per cell]
9 Ho 0.489 0.250 0.690 [2 per cell]
10 Tl 0.035 0.250 0.723 [2 per cell]

=====

3.
CsAsAuSe2 after structural relaxation, computed with PBE-GGA.

- formation energy (no corrections) (eV per atom) = -0.253

Lattice parameters (Å, degrees): 8.360 6.524 5.868 90.00 108.39 90.00
Space group P2/c (No. 13)
Symmetry-distinct sites (fractional):
1 Cs 0.000 0.236 0.250 [2 per cell]
2 As 0.500 0.000 0.000 [2 per cell]
3 Au 0.500 0.380 0.250 [2 per cell]
4 Se 0.272 0.299 0.868 [4 per cell]

=====

4.
Sr2MnSn4Pt3 after structural relaxation, computed with PBE-GGA.

- ΔE_f (eV per atom) = -0.649

Lattice parameters (Å, degrees): 4.616 4.616 11.135 90.00 90.00 90.00
Space group P-4m2 (No. 115)
Symmetry-distinct sites (fractional):
1 Sr 0.000 0.500 0.246 [2 per cell]
2 Mn 0.500 0.500 0.000 [1 per cell]
3 Sn 0.000 0.000 0.500 [1 per cell]
4 Sn 0.000 0.500 0.871 [2 per cell]
5 Sn 0.500 0.500 0.500 [1 per cell]
6 Pt 0.000 0.000 0.000 [1 per cell]
7 Pt 0.000 0.500 0.629 [2 per cell]

=====

5.
SrZr2Te after structural relaxation, computed with PBE-GGA.

- formation energy (no corrections) (eV per atom) = -0.294

Lattice parameters (Å, degrees): 3.922 4.499 7.035 90.00 106.02 90.00
Space group Pm (No. 6)
Symmetry-distinct sites (fractional):
1 Sr 0.000 0.000 0.000 [1 per cell]
2 Zr 0.270 0.500 0.546 [1 per cell]
3 Zr 0.745 0.000 0.495 [1 per cell]
4 Te 0.603 0.500 0.208 [1 per cell]

=====

6.
HfTi6Sn4 after structural relaxation, computed with PBE-GGA.

- ΔE_f (eV per atom) = 0.144

Lattice parameters (Å, degrees): 6.688 6.688 10.988 90.00 90.00 90.00
Space group I-42m (No. 121)
Symmetry-distinct sites (fractional):
1 Hf 0.000 0.000 0.000 [2 per cell]
2 Ti 0.000 0.500 0.000 [4 per cell]
3 Ti 0.164 0.164 0.594 [8 per cell]
4 Sn 0.249 0.249 0.344 [8 per cell]

=====

7.
CaCr3Pd after structural relaxation, computed with PBE-GGA.

- ΔE_f (eV per atom) = 2.433

Lattice parameters (Å, degrees): 4.264 4.264 4.264 90.00 90.00 90.00
Space group Pm-3m (No. 221)
Symmetry-distinct sites (fractional):
1 Ca 0.000 0.000 0.000 [1 per cell]
2 Cr 0.000 0.000 0.500 [3 per cell]
3 Pd 0.500 0.500 0.500 [1 per cell]

=====

8.
Ho2GeBi after structural relaxation, computed with PBE-GGA.

- ΔE_f (eV per atom) = -0.681

Lattice parameters (Å, degrees): 4.227 4.371 6.098 90.00 110.13 90.00
Space group Pm (No. 6)
Symmetry-distinct sites (fractional):
1 Ho 0.000 0.000 0.000 [1 per cell]
2 Ho 0.265 0.500 0.528 [1 per cell]
3 Ge 0.514 0.500 0.032 [1 per cell]
4 Bi 0.726 0.000 0.451 [1 per cell]

=====

9.
Cd3NiTe after structural relaxation, computed with PBE-GGA.

- formation energy (no corrections) (eV per atom) = 0.210

Lattice parameters (Å, degrees): 5.017 5.017 5.017 90.00 90.00 90.00
Space group Pm-3m (No. 221)
Symmetry-distinct sites (fractional):
1 Cd 0.000 0.000 0.500 [3 per cell]
2 Ni 0.000 0.000 0.000 [1 per cell]
3 Te 0.500 0.500 0.500 [1 per cell]

=====

10.
Cs3Ag2Cl4F2 after structural relaxation, computed with PBE-GGA.

- formation energy (no corrections) (eV per atom) = -1.526

Lattice parameters (Å, degrees): 5.046 5.046 26.511 90.00 90.00 90.00
Space group I4/mmm (No. 139)
Symmetry-distinct sites (fractional):
1 Cs 0.000 0.000 0.000 [2 per cell]
2 Cs 0.000 0.000 0.194 [4 per cell]
3 Ag 0.000 0.000 0.389 [4 per cell]
4 Cl 0.000 0.500 0.093 [8 per cell]
5 F 0.000 0.000 0.301 [4 per cell]

=====

11.
La9TbPr2 after structural relaxation, computed with PBE-GGA.

- ΔE_f (eV per atom) = 0.005

Lattice parameters (Å, degrees): 5.240 5.240 15.726 90.00 90.00 90.00
Space group P4/mmm (No. 123)
Symmetry-distinct sites (fractional):
1 La 0.000 0.000 0.000 [1 per cell]
2 La 0.000 0.000 0.332 [2 per cell]
3 La 0.000 0.500 0.165 [4 per cell]
4 La 0.000 0.500 0.500 [2 per cell]
5 Tb 0.500 0.500 0.000 [1 per cell]
6 Pr 0.500 0.500 0.332 [2 per cell]

=====

12.
NaLi2Ca2Cd5 after structural relaxation, computed with PBE-GGA.

- ΔE_f (eV per atom) = -0.212

Lattice parameters (Å, degrees): 10.965 10.965 4.007 90.00 90.00 90.00
Space group P4/mbm (No. 127)
Symmetry-distinct sites (fractional):
1 Na 0.000 0.000 0.000 [2 per cell]
2 Li 0.118 0.382 0.000 [4 per cell]
3 Ca 0.179 0.679 0.000 [4 per cell]
4 Cd 0.000 0.500 0.500 [2 per cell]
5 Cd 0.059 0.209 0.500 [8 per cell]

=====

no.,DOS(E_F) (states/eV per cell)
1,16.51
2,27.33
3,3.44
4,4.99
5,2.94
6,25.25
7,10.30
8,1.51
9,3.43
10,7.17
11,19.06
12,12.13